Entry 1:
A relaxed TbNdHo4Se8 crystal, computed with GGA-PBE.

Calculated values
Its space-group type is R3m, No. 160. Its electronic total energy is -5.680 eV/atom. Its crystal system is trigonal. The value obtained for the volume is 426.0 Å³ per cell. The calculation puts the formation energy from raw total energies at -1.709 eV/atom.

Structure (CIF):
```
data_TbNdHo4Se8
_space_group_name_H-M_alt 'P 1'
_space_group_IT_number 1
_cell_length_a 8.438
_cell_length_b 8.438
_cell_length_c 8.454
_cell_angle_alpha 60.06
_cell_angle_beta 60.06
_cell_angle_gamma 60.00
loop_
_space_group_symop_operation_xyz
'x,y,z'
loop_
_atom_site_label
_atom_site_type_symbol
_atom_site_fract_x
_atom_site_fract_y
_atom_site_fract_z
Se1 Se 0.238 0.238 0.285
Se2 Se 0.230 0.755 0.259
Nd1 Nd 0.374 0.374 0.877
Se3 Se 0.755 0.755 0.259
Se4 Se 0.241 0.782 0.736
Se5 Se 0.755 0.230 0.259
Se6 Se 0.241 0.241 0.736
Se7 Se 0.757 0.757 0.728
Ho1 Ho 0.999 0.999 0.499
Ho2 Ho 0.625 0.625 0.124
Tb1 Tb 0.999 0.999 0.002
Se8 Se 0.782 0.241 0.736
Ho3 Ho 0.999 0.503 0.499
Ho4 Ho 0.503 0.999 0.499
```

Entry 2:
A relaxed TbNd2Ho3Se6 crystal, computed with GGA-PBE.

Calculated values
Its space-group type is C2/m, No. 12. Its electronic total energy is -5.839 eV/atom. Its crystal system is monoclinic. The value obtained for the volume is 297.0 Å³ per cell. The calculation puts the formation energy from raw total energies at -1.771 eV/atom.

Structure (CIF):
```
data_TbNd2Ho3Se6
_space_group_name_H-M_alt 'P 1'
_space_group_IT_number 1
_cell_length_a 4.088
_cell_length_b 8.320
_cell_length_c 9.241
_cell_angle_alpha 103.96
_cell_angle_beta 102.78
_cell_angle_gamma 90.00
loop_
_space_group_symop_operation_xyz
'x,y,z'
loop_
_atom_site_label
_atom_site_type_symbol
_atom_site_fract_x
_atom_site_fract_y
_atom_site_fract_z
Ho1 Ho 0.500 0.500 0.000
Nd1 Nd 0.832 0.664 0.664
Se1 Se 0.004 0.750 0.008
Ho2 Ho 0.831 0.166 0.661
Nd2 Nd 0.168 0.336 0.336
Tb1 Tb 0.500 0.000 0.000
Se2 Se 0.996 0.250 0.992
Se3 Se 0.666 0.072 0.332
Se4 Se 0.662 0.593 0.325
Ho3 Ho 0.169 0.834 0.339
Se5 Se 0.334 0.928 0.668
Se6 Se 0.338 0.407 0.675
```

Entry 3:
A relaxed Tb2NdHoSe6 crystal, computed with GGA-PBE.

Calculated values
Its space-group type is R3, No. 146. Its electronic total energy is -5.799 eV/atom. Its crystal system is trigonal. The value obtained for the volume is 300.0 Å³ per cell. The calculation puts the formation energy from raw total energies at -1.847 eV/atom.

Structure (CIF):
```
data_Tb2NdHoSe6
_space_group_name_H-M_alt 'P 1'
_space_group_IT_number 1
_cell_length_a 7.287
_cell_length_b 7.287
_cell_length_c 7.763
_cell_angle_alpha 62.00
_cell_angle_beta 62.00
_cell_angle_gamma 60.00
loop_
_space_group_symop_operation_xyz
'x,y,z'
loop_
_atom_site_label
_atom_site_type_symbol
_atom_site_fract_x
_atom_site_fract_y
_atom_site_fract_z
Se1 Se 0.125 0.402 0.751
Nd1 Nd 0.814 0.814 0.559
Ho1 Ho 0.319 0.319 0.044
Se2 Se 0.919 0.609 0.248
Se3 Se 0.402 0.721 0.751
Tb1 Tb 0.013 0.013 0.962
Tb2 Tb 0.516 0.516 0.452
Se4 Se 0.608 0.224 0.248
Se5 Se 0.721 0.125 0.751
Se6 Se 0.224 0.919 0.248
```

Entry 4:
A relaxed TbNd4HoSe8 crystal, computed with GGA-PBE.

Calculated values
Its space-group type is R3m, No. 160. Its electronic total energy is -5.734 eV/atom. Its crystal system is trigonal. The value obtained for the volume is 451.5 Å³ per cell. The calculation puts the formation energy from raw total energies at -1.723 eV/atom.

Structure (CIF):
```
data_TbNd4HoSe8
_space_group_name_H-M_alt 'P 1'
_space_group_IT_number 1
_cell_length_a 8.620
_cell_length_b 8.620
_cell_length_c 8.602
_cell_angle_alpha 59.93
_cell_angle_beta 59.93
_cell_angle_gamma 60.00
loop_
_space_group_symop_operation_xyz
'x,y,z'
loop_
_atom_site_label
_atom_site_type_symbol
_atom_site_fract_x
_atom_site_fract_y
_atom_site_fract_z
Tb1 Tb 0.001 0.001 0.996
Se1 Se 0.757 0.757 0.728
Se2 Se 0.764 0.241 0.754
Nd1 Nd 0.496 0.002 0.501
Se3 Se 0.241 0.764 0.754
Nd2 Nd 0.002 0.496 0.501
Se4 Se 0.247 0.247 0.258
Ho1 Ho 0.376 0.376 0.872
Se5 Se 0.764 0.222 0.251
Se6 Se 0.764 0.764 0.251
Nd3 Nd 0.624 0.624 0.128
Nd4 Nd 0.002 0.002 0.501
Se7 Se 0.222 0.764 0.251
Se8 Se 0.241 0.241 0.754
```

Entry 5:
A relaxed Tb2Nd3HoSe6 crystal, computed with GGA-PBE.

Calculated values
Its space-group type is C2/m, No. 12. Its electronic total energy is -5.891 eV/atom. Its crystal system is monoclinic. The value obtained for the volume is 304.7 Å³ per cell. The calculation puts the formation energy from raw total energies at -1.803 eV/atom.

Structure (CIF):
```
data_Tb2Nd3HoSe6
_space_group_name_H-M_alt 'P 1'
_space_group_IT_number 1
_cell_length_a 7.158
_cell_length_b 7.158
_cell_length_c 7.289
_cell_angle_alpha 99.40
_cell_angle_beta 99.40
_cell_angle_gamma 120.28
loop_
_space_group_symop_operation_xyz
'x,y,z'
loop_
_atom_site_label
_atom_site_type_symbol
_atom_site_fract_x
_atom_site_fract_y
_atom_site_fract_z
Nd1 Nd 0.500 0.500 0.500
Se1 Se 0.409 0.078 0.236
Se2 Se 0.252 0.252 0.763
Tb1 Tb 0.333 0.667 0.000
Se3 Se 0.922 0.591 0.764
Se4 Se 0.078 0.409 0.236
Tb2 Tb 0.667 0.333 0.000
Nd2 Nd 0.169 0.831 0.500
Ho1 Ho 0.000 0.000 0.000
Nd3 Nd 0.831 0.169 0.500
Se5 Se 0.748 0.748 0.237
Se6 Se 0.591 0.922 0.764
```

Entry 6:
A relaxed NdHoTeSe2 crystal, computed with GGA-PBE.

Calculated values
Its space-group type is I4mm, No. 107. Its electronic total energy is -5.247 eV/atom. Its crystal system is tetragonal. The value obtained for the volume is 155.5 Å³ per cell. The calculation puts the formation energy from raw total energies at -1.356 eV/atom.

Structure (CIF):
```
data_NdHoTeSe2
_space_group_name_H-M_alt 'P 1'
_space_group_IT_number 1
_cell_length_a 4.670
_cell_length_b 4.670
_cell_length_c 7.855
_cell_angle_alpha 107.29
_cell_angle_beta 107.29
_cell_angle_gamma 90.00
loop_
_space_group_symop_operation_xyz
'x,y,z'
loop_
_atom_site_label
_atom_site_type_symbol
_atom_site_fract_x
_atom_site_fract_y
_atom_site_fract_z
Nd1 Nd 0.134 0.134 0.269
Te1 Te 0.502 0.502 0.004
Se1 Se 0.254 0.754 0.507
Ho1 Ho 0.856 0.856 0.713
Se2 Se 0.754 0.254 0.507
```